The following is a DFT calculation (PBE with a Hubbard U) of a relaxed structure of ScCdMo2O8.

Output
**VASP energy**: -6.865 eV/atom
**Crystal system**: trigonal
**Space group**: R-3 (148)
**Volume**: 203 Å³/cell

Cell lengths 8.580, 8.580, 8.580 Å; angles 36.78, 36.78, 36.78 degrees
Positions (direct):
Sc1 0.000 0.000 0.000
Cd1 0.500 0.500 0.500
Mo1 0.257 0.257 0.257
Mo2 0.743 0.743 0.743
O1 0.011 0.384 0.760
O2 0.183 0.183 0.183
O3 0.240 0.989 0.616
O4 0.384 0.760 0.011
O5 0.616 0.240 0.989
O6 0.760 0.011 0.384
O7 0.817 0.817 0.817
O8 0.989 0.616 0.240